A relaxed Ta3Ga2 crystal, computed with PBE.

Results
Formation enthalpy at 0 K: -0.28 eV per atom
Energy relative to the lowest polymorph listed for this composition: 0.00 eV/f.u.
Size of the total moment: 0.00 μB/cell

a b c (Å): 6.9095 6.9095 3.5108
angles (deg): 90.00 90.00 90.00
Space group P4/mbm (No. 127)
Asymmetric unit:
Ta 0.0000 0.0000 0.0000 x2
Ta 0.1752 0.3248 0.5000 x4
Ga 0.1262 0.6262 0.0000 x4